Record 1
A plane-wave DFT calculation with PBE was carried out for a geometry-optimized TiBeFe3 structure.

Output
* D(E_F): 0.9583 states/eV per atom
* DFT formation energy: 1355 meV per atom
* space-group type: Pm-3m, No. 221

Unit cell a=4.260 b=4.260 c=4.260 alpha=90.00 beta=90.00 gamma=90.00
Atoms (fractional coordinates):
Ti1 0.000 0.000 0.000
Be1 0.500 0.500 0.500
Fe1 0.000 0.000 0.500
Fe2 0.000 0.500 0.000
Fe3 0.500 0.000 0.000


Record 2
A plane-wave DFT calculation with PBE was carried out for a geometry-optimized Ti6BeFe5 structure.

Output
* D(E_F): 0.2916 states/eV per atom
* DFT formation energy: -360 meV per atom
* space-group type: Cmmm, No. 65

Unit cell a=6.602 b=6.602 c=5.900 alpha=90.00 beta=90.00 gamma=143.14
Atoms (fractional coordinates):
Ti1 0.000 0.000 0.250
Ti2 0.000 0.000 0.750
Ti3 0.333 0.667 0.250
Ti4 0.333 0.667 0.750
Ti5 0.667 0.333 0.250
Ti6 0.667 0.333 0.750
Be1 0.500 0.500 0.000
Fe1 0.165 0.835 0.000
Fe2 0.167 0.833 0.500
Fe3 0.500 0.500 0.500
Fe4 0.833 0.167 0.500
Fe5 0.835 0.165 0.000


Record 3
A plane-wave DFT calculation with PBE was carried out for a geometry-optimized Ti2Be2Fe structure.

Output
* D(E_F): 0.7448 states/eV per atom
* DFT formation energy: -142 meV per atom
* space-group type: P4/mbm, No. 127

Unit cell a=6.094 b=6.094 c=3.219 alpha=90.00 beta=90.00 gamma=90.00
Atoms (fractional coordinates):
Ti1 0.180 0.320 0.000
Ti2 0.320 0.820 0.000
Ti3 0.680 0.180 0.000
Ti4 0.820 0.680 0.000
Be1 0.121 0.621 0.500
Be2 0.379 0.121 0.500
Be3 0.621 0.879 0.500
Be4 0.879 0.379 0.500
Fe1 0.000 0.000 0.500
Fe2 0.500 0.500 0.500


Record 4
A plane-wave DFT calculation with PBE was carried out for a geometry-optimized TiBeFe structure.

Output
* D(E_F): 0.0549 states/eV per atom
* DFT formation energy: -222 meV per atom
* space-group type: I4mm, No. 107

Unit cell a=4.496 b=4.496 c=4.496 alpha=141.75 beta=141.75 gamma=55.20
Atoms (fractional coordinates):
Ti1 0.000 0.000 0.000
Be1 0.313 0.313 0.000
Fe1 0.675 0.675 0.000


Record 5
A plane-wave DFT calculation with PBE was carried out for a geometry-optimized Ti2Be16Fe structure.

Output
* D(E_F): 0.3633 states/eV per atom
* DFT formation energy: -204 meV per atom
* space-group type: R3m, No. 160

Unit cell a=5.576 b=5.576 c=5.576 alpha=83.40 beta=83.40 gamma=83.40
Atoms (fractional coordinates):
Ti1 0.000 0.000 0.000
Ti2 0.328 0.328 0.328
Be1 0.016 0.016 0.516
Be2 0.016 0.516 0.016
Be3 0.166 0.671 0.671
Be4 0.321 0.321 0.829
Be5 0.321 0.829 0.321
Be6 0.383 0.671 0.959
Be7 0.383 0.959 0.671
Be8 0.516 0.016 0.016
Be9 0.566 0.566 0.566
Be10 0.671 0.166 0.671
Be11 0.671 0.383 0.959
Be12 0.671 0.671 0.166
Be13 0.671 0.959 0.383
Be14 0.829 0.321 0.321
Be15 0.959 0.383 0.671
Be16 0.959 0.671 0.383
Fe1 0.768 0.768 0.768


Record 6
A plane-wave DFT calculation with PBE was carried out for a geometry-optimized TiBe2Fe2 structure.

Output
* D(E_F): 0.3682 states/eV per atom
* DFT formation energy: -212 meV per atom
* space-group type: P4/mbm, No. 127

Unit cell a=6.072 b=6.072 c=2.779 alpha=90.00 beta=90.00 gamma=90.00
Atoms (fractional coordinates):
Ti1 0.000 0.000 0.000
Ti2 0.500 0.500 0.000
Be1 0.119 0.381 0.000
Be2 0.381 0.881 0.000
Be3 0.619 0.119 0.000
Be4 0.881 0.619 0.000
Fe1 0.173 0.673 0.500
Fe2 0.327 0.173 0.500
Fe3 0.673 0.827 0.500
Fe4 0.827 0.327 0.500


Record 7
A plane-wave DFT calculation with PBE was carried out for a geometry-optimized TiBe2TlFe structure.

Output
* D(E_F): 1.4880 states/eV per atom
* DFT formation energy: 1504 meV per atom
* space-group type: P4/mmm, No. 123

Unit cell a=4.303 b=4.303 c=4.839 alpha=90.00 beta=90.00 gamma=90.00
Atoms (fractional coordinates):
Ti1 0.000 0.000 0.000
Be1 0.000 0.500 0.500
Be2 0.500 0.000 0.500
Tl1 0.500 0.500 0.500
Fe1 0.500 0.500 0.000


Record 8
A plane-wave DFT calculation with PBE was carried out for a geometry-optimized Ti2Be2VFe5 structure.

Output
* D(E_F): 1.0019 states/eV per atom
* DFT formation energy: -226 meV per atom
* space-group type: P4/mbm, No. 127

Unit cell a=8.666 b=8.666 c=2.980 alpha=90.00 beta=90.00 gamma=90.00
Atoms (fractional coordinates):
Ti1 0.172 0.328 0.000
Ti2 0.328 0.828 0.000
Ti3 0.672 0.172 0.000
Ti4 0.828 0.672 0.000
Be1 0.124 0.624 0.000
Be2 0.376 0.124 0.000
Be3 0.624 0.876 0.000
Be4 0.876 0.376 0.000
V1 0.000 0.000 0.000
V2 0.500 0.500 0.000
Fe1 0.000 0.500 0.500
Fe2 0.068 0.794 0.500
Fe3 0.206 0.068 0.500
Fe4 0.294 0.568 0.500
Fe5 0.432 0.294 0.500
Fe6 0.500 0.000 0.500
Fe7 0.568 0.706 0.500
Fe8 0.706 0.432 0.500
Fe9 0.794 0.932 0.500
Fe10 0.932 0.206 0.500


Record 9
A plane-wave DFT calculation with PBE was carried out for a geometry-optimized Ti2BeFeW structure.

Output
* D(E_F): 1.0630 states/eV per atom
* DFT formation energy: 836 meV per atom
* space-group type: P4/mmm, No. 123

Unit cell a=4.377 b=4.377 c=4.493 alpha=90.00 beta=90.00 gamma=90.00
Atoms (fractional coordinates):
Ti1 0.000 0.500 0.000
Ti2 0.500 0.000 0.000
Be1 0.000 0.000 0.500
Fe1 0.500 0.500 0.000
W1 0.500 0.500 0.500


Record 10
A plane-wave DFT calculation with PBE was carried out for a geometry-optimized Be2TlFe2 structure.

Output
* D(E_F): 1.3640 states/eV per atom
* DFT formation energy: 300 meV per atom
* space-group type: P4/mbm, No. 127

Unit cell a=6.354 b=6.354 c=3.035 alpha=90.00 beta=90.00 gamma=90.00
Atoms (fractional coordinates):
Be1 0.117 0.383 0.000
Be2 0.383 0.883 0.000
Be3 0.617 0.117 0.000
Be4 0.883 0.617 0.000
Tl1 0.000 0.000 0.000
Tl2 0.500 0.500 0.000
Fe1 0.157 0.657 0.500
Fe2 0.343 0.157 0.500
Fe3 0.657 0.843 0.500
Fe4 0.843 0.343 0.500


Record 11
A plane-wave DFT calculation with PBE was carried out for a geometry-optimized BeTl2Fe structure.

Output
* D(E_F): 1.3748 states/eV per atom
* DFT formation energy: 957 meV per atom
* space-group type: Fm-3m, No. 225

Unit cell a=4.597 b=4.597 c=4.597 alpha=60.00 beta=60.00 gamma=60.00
Atoms (fractional coordinates):
Be1 0.000 0.000 0.000
Tl1 0.250 0.250 0.250
Tl2 0.750 0.750 0.750
Fe1 0.500 0.500 0.500


Record 12
A plane-wave DFT calculation with PBE was carried out for a geometry-optimized BeTlFe2 structure.

Output
* D(E_F): 0.7262 states/eV per atom
* DFT formation energy: 587 meV per atom
* space-group type: C2/m, No. 12

Unit cell a=4.719 b=4.719 c=2.780 alpha=90.57 beta=90.57 gamma=113.27
Atoms (fractional coordinates):
Be1 0.000 0.000 0.000
Tl1 0.500 0.500 0.000
Fe1 0.000 0.500 0.500
Fe2 0.500 0.000 0.500